No. 1
# HoScSe2O

An optimized crystal structure of HoScSe2O (GGA-PBE, the Alexandria database).

Lattice parameters (Å, degrees): 3.862 3.862 13.938 90.00 90.00 90.00
Sites, in units of the cell vectors:
Ho (0.500, 0.000, 0.580)
Ho (0.000, 0.500, 0.420)
Sc (0.500, 0.000, 0.120)
Sc (0.000, 0.500, 0.880)
Se (0.000, 0.500, 0.701)
Se (0.000, 0.500, 0.089)
Se (0.500, 0.000, 0.911)
Se (0.500, 0.000, 0.299)
O (0.000, 0.000, 0.500)
O (0.500, 0.500, 0.500)

Computed properties:
E: -69.17 eV for the cell shown
Mass density: 6.132 g/cm3
V: 20.8 Å³ per atom

No. 2
# Ho2Sc4Si3O2

An optimized crystal structure of Ho2Sc4Si3O2 (GGA-PBE, the Alexandria database).

Lattice parameters (Å, degrees): 4.252 4.252 11.736 100.44 100.44 90.00
Sites, in units of the cell vectors:
Ho (0.304, 0.304, 0.609)
Ho (0.696, 0.696, 0.391)
Sc (0.421, 0.921, 0.842)
Sc (0.921, 0.421, 0.842)
Sc (0.079, 0.579, 0.158)
Sc (0.579, 0.079, 0.158)
Si (0.000, 0.000, 0.000)
Si (0.172, 0.172, 0.343)
Si (0.828, 0.828, 0.657)
O (0.409, 0.409, 0.819)
O (0.591, 0.591, 0.181)

Computed properties:
E: -78.08 eV for the cell shown
Mass density: 5.068 g/cm3
V: 18.6 Å³ per atom

No. 3
# HoSc2TaO8

An optimized crystal structure of HoSc2TaO8 (GGA-PBE, the Alexandria database).

Lattice parameters (Å, degrees): 4.889 4.890 6.616 90.00 90.00 89.77
Site moments in Bohr magnetons follow the coordinates.
Sites, in units of the cell vectors:
Ho (0.000, 0.000, 0.500)  0.03
Sc (0.500, 0.500, 0.751)  -0.03
Sc (0.500, 0.500, 0.249)  -0.03
Ta (0.000, 0.000, 0.000)  -0.06
O (0.195, 0.804, 0.222)  0.16
O (0.708, 0.709, 0.000)  0.29
O (0.805, 0.196, 0.222)  0.16
O (0.805, 0.196, 0.778)  0.16
O (0.292, 0.291, 0.000)  0.29
O (0.195, 0.804, 0.778)  0.16
O (0.682, 0.683, 0.500)  0.27
O (0.318, 0.317, 0.500)  0.27

Computed properties:
E: -103.43 eV for the cell shown
Mass density: 5.918 g/cm3
V: 13.2 Å³ per atom

No. 4
# TbHo2ScO6

An optimized crystal structure of TbHo2ScO6 (GGA-PBE, the Alexandria database).

Lattice parameters (Å, degrees): 5.697 5.697 5.966 61.48 61.48 60.00
Sites, in units of the cell vectors:
Tb (0.806, 0.806, 0.582)
Ho (0.527, 0.527, 0.419)
Ho (0.024, 0.024, 0.929)
Sc (0.313, 0.313, 0.062)
O (0.603, 0.209, 0.249)
O (0.209, 0.939, 0.249)
O (0.939, 0.603, 0.249)
O (0.415, 0.698, 0.759)
O (0.698, 0.128, 0.759)
O (0.128, 0.415, 0.759)

Computed properties:
E: -85.13 eV for the cell shown
Mass density: 7.474 g/cm3
V: 14.0 Å³ per atom

No. 5
# HoSc2TcO8

An optimized crystal structure of HoSc2TcO8 (GGA-PBE, the Alexandria database).

Lattice parameters (Å, degrees): 4.872 4.866 6.463 90.00 90.00 90.14
Sites, in units of the cell vectors:
Ho (0.000, 0.000, 0.500)
Sc (0.500, 0.500, 0.743)
Sc (0.500, 0.500, 0.257)
Tc (0.000, 0.000, 0.000)
O (0.191, 0.808, 0.212)
O (0.721, 0.721, 0.000)
O (0.809, 0.192, 0.212)
O (0.809, 0.192, 0.788)
O (0.279, 0.279, 0.000)
O (0.191, 0.808, 0.788)
O (0.684, 0.686, 0.500)
O (0.316, 0.314, 0.500)

Computed properties:
E: -98.71 eV for the cell shown
Mass density: 5.211 g/cm3
V: 12.8 Å³ per atom

No. 6
# HoSc2TcO

An optimized crystal structure of HoSc2TcO (GGA-PBE, the Alexandria database).

Lattice parameters (Å, degrees): 4.272 4.272 4.959 90.00 90.00 90.00
Sites, in units of the cell vectors:
Ho (0.000, 0.000, 0.486)
Sc (0.000, 0.500, 0.963)
Sc (0.500, 0.000, 0.964)
Tc (0.500, 0.500, 0.572)
O (0.000, 0.000, 0.015)

Computed properties:
E: -38.58 eV for the cell shown
Mass density: 6.766 g/cm3
V: 18.1 Å³ per atom

No. 7
# HoSc2TeO8

An optimized crystal structure of HoSc2TeO8 (GGA-PBE, the Alexandria database).

Lattice parameters (Å, degrees): 4.827 4.829 6.642 90.00 90.00 90.49
Site moments in Bohr magnetons follow the coordinates.
Sites, in units of the cell vectors:
Ho (0.000, 0.000, 0.500)  0.07
Sc (0.500, 0.500, 0.754)  -0.01
Sc (0.500, 0.500, 0.246)  -0.01
Te (0.000, 0.000, 0.000)  0.00
O (0.191, 0.809, 0.217)  0.02
O (0.712, 0.712, 0.000)  0.04
O (0.809, 0.191, 0.217)  0.02
O (0.809, 0.191, 0.783)  0.02
O (0.288, 0.288, 0.000)  0.04
O (0.191, 0.809, 0.783)  0.02
O (0.679, 0.680, 0.500)  0.20
O (0.321, 0.320, 0.500)  0.20

Computed properties:
E: -89.92 eV for the cell shown
Mass density: 5.474 g/cm3
V: 12.9 Å³ per atom

No. 8
# Ho2ScTlO6

An optimized crystal structure of Ho2ScTlO6 (GGA-PBE, the Alexandria database).

Lattice parameters (Å, degrees): 5.688 5.688 5.989 61.64 61.65 60.00
Sites, in units of the cell vectors:
Ho (0.521, 0.521, 0.438)
Ho (0.027, 0.027, 0.920)
Sc (0.811, 0.811, 0.566)
Tl (0.304, 0.304, 0.088)
O (0.631, 0.198, 0.259)
O (0.198, 0.912, 0.259)
O (0.912, 0.631, 0.259)
O (0.440, 0.717, 0.742)
O (0.717, 0.101, 0.742)
O (0.101, 0.440, 0.742)

Computed properties:
E: -75.74 eV for the cell shown
Mass density: 7.991 g/cm3
V: 14.0 Å³ per atom

No. 9
# Ho2Sc2Tl2O

An optimized crystal structure of Ho2Sc2Tl2O (GGA-PBE, the Alexandria database).

Lattice parameters (Å, degrees): 4.435 4.435 8.572 104.99 104.99 90.00
Sites, in units of the cell vectors:
Ho (0.166, 0.166, 0.332)
Ho (0.834, 0.834, 0.668)
Sc (0.000, 0.500, 0.000)
Sc (0.500, 0.000, 0.000)
Tl (0.365, 0.365, 0.729)
Tl (0.635, 0.635, 0.271)
O (0.000, 0.000, 0.000)

Computed properties:
E: -39.41 eV for the cell shown
Mass density: 8.936 g/cm3
V: 22.4 Å³ per atom

No. 10
# Ho2ScTlO

An optimized crystal structure of Ho2ScTlO (GGA-PBE, the Alexandria database).

Lattice parameters (Å, degrees): 4.481 4.770 4.770 90.00 90.00 90.00
Sites, in units of the cell vectors:
Ho (0.000, 0.000, 0.500)
Ho (0.000, 0.500, 0.000)
Sc (0.500, 0.000, 0.000)
Tl (0.500, 0.500, 0.500)
O (0.000, 0.000, 0.000)

Computed properties:
E: -29.59 eV for the cell shown
Mass density: 9.694 g/cm3
V: 20.4 Å³ per atom